Computed, not measured: FeSe after structural relaxation at the PBE level of DFT.

Results
- magnetization (μB per atom) = 1.480
- crystal system = cubic
- calculated density (Mg/m³) = 6.917
- electronic total energy (eV/cell) = -85.328

a b c (Å): 6.373 6.373 6.373
angles (deg): 90.00 90.00 90.00
Space group Fd-3m (No. 227, origin choice 2)
Inequivalent atoms, fractional coordinates:
Fe1 0.125 0.125 0.125 x8
Se1 0.125 0.125 0.625 x8


Computed, not measured: PmNd2Zn after structural relaxation at the PBE level of DFT.

Results
- magnetization (μB per atom) = 0.000
- crystal system = cubic
- ΔE_f (kJ/mol of atoms) = 6.4
- calculated density (Mg/m³) = 7.091
- electronic total energy (eV/cell) = -61.183
- offset from the most stable computed form (meV per atom) = 213

a b c (Å): 7.760 7.760 7.760
angles (deg): 90.00 90.00 90.00
Space group F-43m (No. 216)
Inequivalent atoms, fractional coordinates:
Pm1 0.000 0.000 0.000 x4
Nd1 0.000 0.000 0.500 x4
Nd2 0.250 0.250 0.750 x4
Zn1 0.250 0.250 0.250 x4


Computed, not measured: PmEr2Tc9 after structural relaxation at the PBE level of DFT.

Results
- magnetization (μB per atom) = 0.000
- crystal system = trigonal
- ΔE_f (kJ/mol of atoms) = -5.1
- calculated density (Mg/m³) = 10.405
- electronic total energy (eV/cell) = -323.430

a b c (Å): 5.3709 5.3709 26.0940
angles (deg): 90.00 90.00 120.00
Space group R-3m (No. 166, hexagonal axes)
Inequivalent atoms, fractional coordinates:
Pm1 0.0000 0.0000 0.0000 x3
Er1 0.0000 0.0000 0.1435 x6
Tc1 0.0000 0.0000 0.3389 x6
Tc2 0.0000 0.0000 0.5000 x3
Tc3 0.0112 0.5056 0.9160 x18